1.
La4PmSm4: optimized geometry, GGA-PBE.

Cell and atoms, written as CIF:
```
data_La4PmSm4
_space_group_name_H-M_alt 'P 1'
_space_group_IT_number 1
_space_group_name_Hall 'P 1'
_cell_length_a 8.223
_cell_length_b 8.223
_cell_length_c 8.223
_cell_angle_alpha 95.80
_cell_angle_beta 95.80
_cell_angle_gamma 142.93
loop_
_atom_site_label
_atom_site_fract_x
_atom_site_fract_y
_atom_site_fract_z
La1 0.167 0.167 0.334
La2 0.167 0.833 0.000
La3 0.833 0.167 0.000
La4 0.833 0.833 0.666
Pm1 0.500 0.500 0.000
Sm1 0.165 0.500 0.665
Sm2 0.500 0.165 0.665
Sm3 0.500 0.835 0.335
Sm4 0.835 0.500 0.335
```

Output
Energy of formation (meV per atom): 20
Space group: I4/mmm (139)

=====

2.
NdSI: optimized geometry, GGA-PBE.

Cell and atoms, written as CIF:
```
data_NdSI
_space_group_name_H-M_alt 'P 1'
_space_group_IT_number 1
_space_group_name_Hall 'P 1'
_cell_length_a 4.336
_cell_length_b 4.336
_cell_length_c 7.266
_cell_angle_alpha 90.00
_cell_angle_beta 90.00
_cell_angle_gamma 120.00
loop_
_atom_site_label
_atom_site_fract_x
_atom_site_fract_y
_atom_site_fract_z
Nd1 0.000 0.000 0.000
S1 0.333 0.667 0.155
I1 0.667 0.333 0.706
```

Output
Formation energy from raw total energies (meV/atom): -1721
Space group: P3m1 (156)

=====

no.,VASP energy (eV/f.u.)
1,-43.16
2,-15.61